Record 1
The following is a DFT calculation (PBE) of a relaxed structure of Eu2Ti2O5.

a = 3.9495 Å, b = 3.9495 Å, c = 7.5213 Å
α = 90.00°, β = 90.00°, γ = 90.00°
Space group P4/mmm (No. 123)
Asymmetric unit:
Eu 0.0000 0.0000 0.0000
Eu 0.0000 0.0000 0.5000
Ti 0.5000 0.5000 0.2388
O 0.0000 0.5000 0.2261
O 0.5000 0.5000 0.5000

## Properties
crystal system = tetragonal
E above lowest polymorph = 0.0000 eV per atom
formation energy without anion corrections = -2523.6 kJ/mol of formula units
final energy = -9.698 eV per atom
N(E_F) = 20.27 states/eV/cell

---

Record 2
The following is a DFT calculation (PBE) of a relaxed structure of Pr2CuNi16.

a = 8.3990 Å, b = 8.3990 Å, c = 12.1624 Å
α = 90.00°, β = 90.00°, γ = 120.00°
Space group R3m (No. 160, hexagonal axes)
Asymmetric unit:
Pr 0.0000 0.0000 0.0000
Pr 0.0000 0.0000 0.3168
Cu 0.0000 0.0000 0.5617
Ni 0.0000 0.0000 0.7581
Ni 0.9999 0.2899 0.6590
Ni 0.0031 0.5015 0.5035
Ni 0.1681 0.3363 0.1472
Ni 0.1678 0.3356 0.4923

## Properties
calculated formation energy = -153 meV/atom
crystal system = trigonal
final energy = -5.740 eV per atom
N(E_F) = 74.40 states/eV/cell

---

Record 3
The following is a DFT calculation (PBE) of a relaxed structure of Pr2FeGe3Pt4.

a = 4.3480 Å, b = 4.3480 Å, c = 10.1855 Å
α = 90.00°, β = 90.00°, γ = 90.00°
Space group P-4m2 (No. 115)
Asymmetric unit:
Pr 0.0000 0.5000 0.2430
Fe 0.5000 0.5000 0.0000
Ge 0.0000 0.0000 0.0000
Ge 0.0000 0.5000 0.6322
Pt 0.0000 0.0000 0.5000
Pt 0.0000 0.5000 0.8735
Pt 0.5000 0.5000 0.5000

## Properties
calculated formation energy = -835 meV/atom
crystal system = tetragonal
final energy = -6.438 eV per atom
N(E_F) = 6.83 states/eV/cell

---

Record 4
The following is a DFT calculation (PBE) of a relaxed structure of HfMoPt.

a = 6.7648 Å, b = 6.7648 Å, c = 4.1668 Å
α = 90.00°, β = 90.00°, γ = 120.00°
Space group P-62m (No. 189)
Asymmetric unit:
Hf 0.0000 0.0000 0.0000
Hf 0.3333 0.6667 0.5000
Mo 0.0000 0.7695 0.5000
Pt 0.0000 0.4148 0.0000

## Properties
calculated formation energy = 143 meV/atom
crystal system = hexagonal
final energy = -8.799 eV per atom
N(E_F) = 9.80 states/eV/cell

---

Record 5
The following is a DFT calculation (PBE) of a relaxed structure of SrSi3Pd3.

a = 6.7813 Å, b = 6.7813 Å, c = 21.6302 Å
α = 90.00°, β = 90.00°, γ = 120.00°
Space group R-3 (No. 148, hexagonal axes)
Asymmetric unit:
Sr 0.0000 0.0000 0.1674
Si 0.0071 0.5979 0.6198
Pd 0.0015 0.7518 0.3971

## Properties
crystal system = trigonal
E above lowest polymorph = 0.0367 eV per atom
formation energy without anion corrections = -278.8 kJ/mol of formula units
final energy = -5.203 eV per atom
N(E_F) = 23.14 states/eV/cell

---

Record 6
The following is a DFT calculation (PBE) of a relaxed structure of CrMoBr.

a = 3.1947 Å, b = 3.1947 Å, c = 6.1427 Å
α = 90.00°, β = 90.00°, γ = 120.00°
Space group P3m1 (No. 156)
Asymmetric unit:
Cr 0.0000 0.0000 0.0000
Mo 0.6667 0.3333 0.2476
Br 0.6667 0.3333 0.6852

## Properties
crystal system = trigonal
E above lowest polymorph = 0.2980 eV per atom
formation energy without anion corrections = 120.1 kJ/mol of formula units
final energy = -6.961 eV per atom
N(E_F) = 1.56 states/eV/cell

---

Record 7
The following is a DFT calculation (PBE) of a relaxed structure of Sc2P2Se.

a = 7.1497 Å, b = 7.1497 Å, c = 3.7005 Å
α = 90.00°, β = 90.00°, γ = 90.00°
Space group P4/mbm (No. 127)
Asymmetric unit:
Sc 0.1750 0.3250 0.0000
P 0.1093 0.6093 0.5000
Se 0.0000 0.0000 0.0000

## Properties
crystal system = tetragonal
E above lowest polymorph = 0.0240 eV per atom
formation energy without anion corrections = -523.2 kJ/mol of formula units
final energy = -6.478 eV per atom
N(E_F) = 4.41 states/eV/cell

---

Record 8
The following is a DFT calculation (PBE) of a relaxed structure of NbAuSCl2.

a = 4.8609 Å, b = 4.8609 Å, c = 5.0951 Å
α = 90.00°, β = 90.00°, γ = 90.00°
Space group P4/mmm (No. 123)
Asymmetric unit:
Nb 0.0000 0.0000 0.0000
Au 0.5000 0.5000 0.5000
S 0.5000 0.5000 0.0000
Cl 0.0000 0.5000 0.5000

## Properties
crystal system = tetragonal
E above lowest polymorph = 0.8512 eV per atom
formation energy without anion corrections = 317.5 kJ/mol of formula units
final energy = -3.575 eV per atom
N(E_F) = 6.79 states/eV/cell

---

Record 9
The following is a DFT calculation (PBE) of a relaxed structure of MgRu2.

a = 5.4373 Å, b = 3.9627 Å, c = 8.4389 Å
α = 90.00°, β = 90.00°, γ = 90.00°
Space group Pnma (No. 62)
Asymmetric unit:
Mg 0.1208 0.2500 0.0858
Ru 0.0991 0.2500 0.7274
Ru 0.1139 0.2500 0.4144

## Properties
calculated formation energy = 208 meV/atom
crystal system = orthorhombic
final energy = -6.508 eV per atom
N(E_F) = 15.62 states/eV/cell

---

Record 10
The following is a DFT calculation (PBE) of a relaxed structure of ErTm2Lu.

a = 4.9181 Å, b = 4.9181 Å, c = 4.9199 Å
α = 90.00°, β = 90.00°, γ = 90.00°
Space group P4/mmm (No. 123)
Asymmetric unit:
Er 0.0000 0.0000 0.0000
Tm 0.0000 0.5000 0.5000
Lu 0.5000 0.5000 0.0000

## Properties
calculated formation energy = 30 meV/atom
crystal system = tetragonal
E above lowest polymorph = 0.0009 eV per atom
final energy = -4.477 eV per atom
N(E_F) = 6.25 states/eV/cell

---

Record 11
The following is a DFT calculation (PBE) of a relaxed structure of SmDySbS.

a = 4.0944 Å, b = 4.0944 Å, c = 22.1880 Å
α = 90.00°, β = 90.00°, γ = 120.00°
Space group R3m (No. 160, hexagonal axes)
Asymmetric unit:
Sm 0.0000 0.0000 0.0000
Dy 0.0000 0.0000 0.1615
Sb 0.0000 0.0000 0.5781
S 0.0000 0.0000 0.7520

## Properties
crystal system = trigonal
formation energy without anion corrections = -540.7 kJ/mol of formula units
final energy = -5.794 eV per atom
N(E_F) = 6.72 states/eV/cell

---

Record 12
The following is a DFT calculation (PBE) of a relaxed structure of Pu2Co3CuH12.

a = 5.7931 Å, b = 5.7931 Å, c = 14.1518 Å
α = 90.00°, β = 90.00°, γ = 120.00°
Space group R-3m (No. 166, hexagonal axes)
Asymmetric unit:
Pu 0.0000 0.0000 0.1173
Co 0.0000 0.5000 0.0000
Cu 0.0000 0.0000 0.5000
H 0.0179 0.5089 0.1122
H 0.0318 0.5159 0.3470

## Properties
crystal system = trigonal
final energy = -5.365 eV per atom
N(E_F) = 59.09 states/eV/cell

---

Among the records above, which one has the highest final energy? NbAuSCl2

---

The lowest final energy belongs to which entry? Eu2Ti2O5

---

Which of these has the highest final energy? NbAuSCl2